Crystalline Si4PRh at its relaxed geometry, computed with PBEsol.

```
Si4PRh
1.0
4.949 0.000 0.000
2.475 4.286 0.000
2.475 1.429 4.041
Si P Rh
4 1 1
direct
0.375 0.874 0.375
0.874 0.375 0.375
0.375 0.375 0.375
0.375 0.375 0.874
0.750 0.750 0.750
0.000 0.000 0.000
```

Properties
Magnetization, μB/atom: 0.000
Formation energy (no corrections), eV/atom: 0.519
Space-group type: No. 216